[1]
Density functional theory data (PBE-GGA) for Sr2CuSi after structural relaxation.

Computed properties:
M_tot = 0.000 μB/cell
Crystal system = orthorhombic
Total DFT energy (no corrections) = -0.248 Ry/atom

Cell lengths 7.877, 7.877, 7.877 Å; angles 148.72, 146.90, 46.18 degrees
Fractional positions:
Sr 0.000 0.000 0.000
Sr 0.763 0.263 0.500
Cu 0.352 0.852 0.500
Si 0.415 0.415 0.000

=====

[2]
Density functional theory data (PBE-GGA) for Ti2VMo5 after structural relaxation.

Computed properties:
M_tot = 0.000 μB/cell
Crystal system = tetragonal
Total DFT energy (no corrections) = -0.733 Ry/atom

Cell lengths 5.438, 5.438, 5.438 Å; angles 109.28, 109.28, 109.86 degrees
Fractional positions:
Ti 0.000 0.500 0.500
Ti 0.500 0.000 0.500
V 0.000 0.000 0.000
Mo 0.000 0.000 0.500
Mo 0.000 0.500 0.000
Mo 0.500 0.000 0.000
Mo 0.500 0.500 0.000
Mo 0.500 0.500 0.500

=====

[3]
Density functional theory data (PBE-GGA) for AlIn2Os after structural relaxation.

Computed properties:
M_tot = 0.000 μB/cell
Crystal system = trigonal
Total DFT energy (no corrections) = -0.360 Ry/atom

Cell lengths 9.421, 9.421, 9.421 Å; angles 19.04, 19.04, 19.04 degrees
Fractional positions:
Al 0.000 0.000 0.000
In 0.524 0.524 0.524
In 0.757 0.757 0.757
Os 0.270 0.270 0.270

=====

Volume in Å³ per cell, matching the order above: 138.10; 123.81; 77.78